# LaTi2GaP meta-GGA SCAN single point on PBEsol structure
data_LaTi2GaP
_cell_length_a 4.608
_cell_length_b 4.608
_cell_length_c 5.391
_cell_angle_alpha 90.00
_cell_angle_beta 90.00
_cell_angle_gamma 90.00
_symmetry_space_group_name_H-M 'P 4/m m m'
_symmetry_Int_Tables_number 123
_symmetry_space_group_name_Hall '-P 4 2'
loop_
_atom_site_label
_atom_site_fract_x
_atom_site_fract_y
_atom_site_fract_z
La1 0.000 0.000 0.000
Ti1 0.000 0.500 0.500
Ga1 0.500 0.500 0.000
P1 0.000 0.000 0.500
# E_form, eV/atom: -0.30

# Lu2InNi2 meta-GGA SCAN single point on PBEsol structure
data_Lu2InNi2
_cell_length_a 7.192
_cell_length_b 7.192
_cell_length_c 3.481
_cell_angle_alpha 90.00
_cell_angle_beta 90.00
_cell_angle_gamma 90.00
_symmetry_space_group_name_H-M 'P 4/m b m'
_symmetry_Int_Tables_number 127
_symmetry_space_group_name_Hall '-P 4 2ab'
loop_
_atom_site_label
_atom_site_fract_x
_atom_site_fract_y
_atom_site_fract_z
Lu1 0.173 0.327 0.000
In1 0.000 0.000 0.500
Ni1 0.120 0.620 0.500
# E_form, eV/atom: -0.60

Entry from Alexandria: a crystal of BaClF relaxed with PBEsol (meta-GGA SCAN).

Cell and atoms, written as CIF:
```
data_BaClF
_cell_length_a 4.365
_cell_length_b 4.365
_cell_length_c 7.193
_cell_angle_alpha 90.00
_cell_angle_beta 90.00
_cell_angle_gamma 90.00
_symmetry_space_group_name_H-M 'P 4/n m m'
_symmetry_Int_Tables_number 129
loop_
_symmetry_equiv_pos_as_xyz
'x,y,z'
'-x,-y,-z'
'-y+1/2,x,z'
'y+1/2,-x,-z'
'-x+1/2,-y+1/2,z'
'x+1/2,y+1/2,-z'
'y,-x+1/2,z'
'-y,x+1/2,-z'
'x+1/2,-y,-z'
'-x+1/2,y,z'
'-y,-x,-z'
'y,x,z'
'-x,y+1/2,-z'
'x,-y+1/2,z'
'y+1/2,x+1/2,-z'
'-y+1/2,-x+1/2,z'
loop_
_atom_site_label
_atom_site_fract_x
_atom_site_fract_y
_atom_site_fract_z
Ba1 0.250 0.250 0.207
Cl1 0.250 0.250 0.648
F1 0.250 0.750 0.000
```

Entry from Alexandria: a crystal of HgTe3C relaxed with PBEsol (meta-GGA SCAN).

Cell and atoms, written as CIF:
```
data_HgTe3C
_cell_length_a 5.516
_cell_length_b 5.516
_cell_length_c 5.516
_cell_angle_alpha 90.00
_cell_angle_beta 90.00
_cell_angle_gamma 90.00
_symmetry_space_group_name_H-M 'P m -3 m'
_symmetry_Int_Tables_number 221
_symmetry_space_group_name_Hall '-P 4 2 3'
loop_
_atom_site_label
_atom_site_fract_x
_atom_site_fract_y
_atom_site_fract_z
Hg1 0.000 0.000 0.000
Te1 0.000 0.000 0.500
C1 0.500 0.500 0.500
```

# Al2IrAu meta-GGA SCAN single point on PBEsol structure
data_Al2IrAu
_cell_length_a 4.431
_cell_length_b 4.431
_cell_length_c 2.961
_cell_angle_alpha 90.00
_cell_angle_beta 90.00
_cell_angle_gamma 90.00
_symmetry_space_group_name_H-M 'P 4/m m m'
_symmetry_Int_Tables_number 123
_symmetry_space_group_name_Hall '-P 4 2'
loop_
_atom_site_label
_atom_site_fract_x
_atom_site_fract_y
_atom_site_fract_z
Al1 0.000 0.500 0.000
Ir1 0.000 0.000 0.500
Au1 0.500 0.500 0.500
# E_form, eV/atom: -0.74

Entry from Alexandria: a crystal of LuBO3 relaxed with PBEsol (meta-GGA SCAN).

Cell and atoms, written as CIF:
```
data_LuBO3
_cell_length_a 8.229
_cell_length_b 6.227
_cell_length_c 4.287
_cell_angle_alpha 90.00
_cell_angle_beta 90.00
_cell_angle_gamma 90.00
_symmetry_space_group_name_H-M 'A m a 2'
_symmetry_Int_Tables_number 40
loop_
_symmetry_equiv_pos_as_xyz
'x,y,z'
'-x,-y,z'
'-x+1/2,y,z'
'x+1/2,-y,z'
'x,y+1/2,z+1/2'
'-x,-y+1/2,z+1/2'
'-x+1/2,y+1/2,z+1/2'
'x+1/2,-y+1/2,z+1/2'
loop_
_atom_site_label
_atom_site_fract_x
_atom_site_fract_y
_atom_site_fract_z
Lu1 0.000 0.000 0.000
B1 0.250 0.138 0.552
O1 0.100 0.172 0.415
O2 0.250 0.076 0.859
```

Number 1: magnetization 0.300 μB/atom, VASP energy -20.68 eV/atom. Number 2: magnetization 0.000 μB/atom, VASP energy -35.88 eV/atom. Number 3: magnetization 0.000 μB/atom, VASP energy -20.57 eV/atom. Number 4: magnetization 0.085 μB/atom, VASP energy -36.00 eV/atom. Number 5: magnetization 0.000 μB/atom, VASP energy -39.68 eV/atom. Number 6: magnetization 0.000 μB/atom, VASP energy -19.65 eV/atom.